VASP calculation (meta-GGA SCAN) on a PBEsol-optimized structure of ZrScCo2.

Computed properties:
Total energy: -20.2990 eV per atom
Spin magnetization: 0.321 μB per atom
DFT formation energy: -0.4129 eV/atom

The structure in POSCAR format:
```
ZrScCo2
1.0
4.395 0.000 0.000
2.198 3.807 0.000
2.198 1.269 3.589
Sc Zr Co
1 1 2
Cartesian
4.395 2.538 1.794
0.000 0.000 0.000
2.198 1.269 0.897
6.593 3.807 2.692
```



VASP calculation (meta-GGA SCAN) on a PBEsol-optimized structure of KY2Ir.

Computed properties:
Total energy: -33.7954 eV per atom
Spin magnetization: 0.000 μB per atom
DFT formation energy: -0.0170 eV/atom
Relative energy among the computed polymorphs: 398 meV per atom

The structure in POSCAR format:
```
KY2Ir
1.0
5.088 0.000 0.000
2.544 4.406 0.000
2.544 1.469 4.154
Ir Y K
1 2 1
Cartesian
0.000 0.000 0.000
7.631 4.406 3.116
2.544 1.469 1.039
5.088 2.937 2.077
```



VASP calculation (meta-GGA SCAN) on a PBEsol-optimized structure of InBIO2.

Computed properties:
Total energy: -17.5894 eV per atom
Formation energy from raw total energies: 0.41 eV/atom
Spin magnetization: 0.000 μB per atom

The structure in POSCAR format:
```
InBIO2
1.0
3.868 0.000 0.000
0.000 3.868 0.000
0.000 0.000 4.604
In B O I
1 1 2 1
Cartesian
1.934 1.934 2.302
0.000 0.000 0.000
0.000 1.934 0.000
1.934 0.000 0.000
0.000 0.000 2.302
```



VASP calculation (meta-GGA SCAN) on a PBEsol-optimized structure of KScSb.

Computed properties:
Total energy: -20.0287 eV per atom
Formation energy from raw total energies: -0.09 eV/atom
Spin magnetization: 0.132 μB per atom

The structure in POSCAR format:
```
KScSb
1.0
-0.996 1.602 2.970
2.198 -2.744 0.133
6.579 5.241 -0.622
K Sc Sb
1 1 1
Cartesian
6.413 5.109 -0.606
2.593 2.164 1.786
5.355 2.068 0.680
```



Repeat the first record exactly.
VASP calculation (meta-GGA SCAN) on a PBEsol-optimized structure of ZrScCo2.

Computed properties:
Total energy: -20.2990 eV per atom
Spin magnetization: 0.321 μB per atom
DFT formation energy: -0.4129 eV/atom

The structure in POSCAR format:
```
ZrScCo2
1.0
4.395 0.000 0.000
2.198 3.807 0.000
2.198 1.269 3.589
Sc Zr Co
1 1 2
Cartesian
4.395 2.538 1.794
0.000 0.000 0.000
2.198 1.269 0.897
6.593 3.807 2.692
```